This record from Alexandria describes crystalline Nb3ReP at its relaxed geometry. The functional is PBE-GGA.

Lattice parameters (Å, degrees): 4.543 4.543 4.543 90.00 90.00 90.00
Atoms (fractional coordinates):
Nb 0.500 0.000 0.000
Nb 0.000 0.000 0.500
Nb 0.000 0.500 0.000
P 0.000 0.000 0.000
Re 0.500 0.500 0.500

- ρ (g/cm3) = 8.8
- DOS at the Fermi energy (states/eV/cell) = 6.2
- magnetization (μB/f.u.) = 0.00
- formation enthalpy at 0 K (eV per atom) = 0.52
- total energy (eV/atom) = -9.094
- excess energy over the best structure of this formula in the dataset (kJ/mol of formula units) = 0